# 1
A geometry-optimized CePrMgZn structure. Source: the Alexandria database, functional PBE-GGA.

The volume comes out at 107 Å³/cell. Its symmetry is F-43m (216).

Cell: 5.330 5.330 5.330 Å, 60.00 60.00 60.00°
Fractional coordinates of all 4 atoms:
1 Ce 0.000 0.000 0.000
2 Pr 0.500 0.500 0.500
3 Mg 0.750 0.750 0.750
4 Zn 0.250 0.250 0.250

***

# 2
A geometry-optimized CePrMgZr structure. Source: the Alexandria database, functional PBE-GGA.

The volume comes out at 110 Å³/cell. Its symmetry is F-43m (216).

Cell: 5.385 5.385 5.385 Å, 60.00 60.00 60.00°
Fractional coordinates of all 4 atoms:
1 Ce 0.000 0.000 0.000
2 Pr 0.500 0.500 0.500
3 Mg 0.750 0.750 0.750
4 Zr 0.250 0.250 0.250

***

| no. | DFT total energy (eV per atom) | E_form (meV per atom) | DOS at the Fermi energy (states/eV/f.u.) |
| --- | --- | --- | --- |
| 1 | -3.47 | -79 | 8.84 |
| 2 | -5.05 | 164 | 7.96 |